DFT (PBE) results for a relaxed structure of Gd2Dy3YNiTe2.

## Properties
- Calculated volume: 480 Å³/cell
- DFT total energy: -5.32 eV per atom

Lattice parameters (Å, degrees): 3.9107 14.5659 8.4297 90.00 90.00 90.00
With the nearest neighbours (Å) after each atom.
Space group Amm2 (No. 38)
Unique sites:
Gd 0.0000 0.2025 0.0000  4 Te 3.23, 1 Ni 3.42, 6 Dy 3.55-3.58
Dy 0.5000 0.0000 0.0348  2 Ni 2.81
Dy 0.5000 0.1193 0.6789  2 Ni 2.79
Y 0.0000 0.0000 0.3950  4 Te 3.21, 1 Ni 3.37, 4 Dy 3.55
Ni 0.0000 0.0000 0.7948  6 Dy 2.79-2.81
Te 0.5000 0.1657 0.2977  2 Y 3.21, 4 Gd 3.23, 3 Dy 3.28-3.29

=====

DFT (PBE) results for a relaxed structure of CsZn5.

## Properties
- Calculated volume: 133 Å³/cell
- DFT total energy: -1.08 eV per atom

Lattice parameters (Å, degrees): 6.0484 6.0484 4.2076 90.00 90.00 120.00
With the nearest neighbours (Å) after each atom.
Space group P-62m (No. 189)
Unique sites:
Cs 0.0000 0.0000 0.0000  18 Zn 3.49-3.69
Zn 0.0000 0.4986 0.5000  8 Zn 2.73-3.02
Zn 0.3333 0.6667 0.0000  6 Zn 2.73

=====

DFT (PBE) results for a relaxed structure of PuCoNi.

## Properties
- Calculated volume: 192 Å³/cell
- Energy above the most stable polymorph in this dataset: 0.000 eV per formula unit
- DFT total energy: -8.23 eV per atom

Lattice parameters (Å, degrees): 5.7686 5.7686 5.7686 90.00 90.00 90.00
With the nearest neighbours (Å) after each atom.
Space group F-43m (No. 216)
Unique sites:
Pu 0.0000 0.0000 0.0000  4 Co 2.50
Co 0.2500 0.2500 0.7500  4 Pu 2.50, 4 Ni 2.50
Ni 0.0000 0.0000 0.5000  4 Co 2.50

=====

DFT (PBE) results for a relaxed structure of PrTlSnS3.

## Properties
- Calculated volume: 757 Å³/cell
- DFT total energy: -4.90 eV per atom

Lattice parameters (Å, degrees): 4.1654 16.1747 11.2376 90.00 90.00 90.00
With the nearest neighbours (Å) after each atom.
Space group Cmcm (No. 63)
Unique sites:
Pr 0.0000 0.0000 0.0000  6 S 2.84-2.85
Tl 0.0000 0.3112 0.2500  2 S 3.01
Sn 0.0000 0.3683 0.7500  4 S 2.69-2.83
S 0.0000 0.0265 0.2500  2 Sn 2.69, 2 Pr 2.84
S 0.0000 0.3801 0.0015  1 Sn 2.83, 2 Pr 2.85, 1 Tl 3.01

=====

DFT (PBE) results for a relaxed structure of Al2CuC2.

## Properties
- Calculated volume: 55 Å³/cell
- DFT total energy: -5.51 eV per atom

Lattice parameters (Å, degrees): 3.4331 3.4331 5.3726 90.00 90.00 120.00
With the nearest neighbours (Å) after each atom.
Space group P-3m1 (No. 164)
Unique sites:
Al 0.3333 0.6667 0.3251  4 C 2.00-2.18
Cu 0.0000 0.0000 0.0000  6 C 2.45, 6 Al 2.64
C 0.3333 0.6667 0.7305  4 Al 2.00-2.18

=====

DFT (PBE) results for a relaxed structure of PrTlFeS3.

## Properties
- Calculated volume: 637 Å³/cell
- DFT total energy: -5.65 eV per atom

Lattice parameters (Å, degrees): 10.9469 4.0820 14.2497 90.00 90.00 90.00
With the nearest neighbours (Å) after each atom.
Space group Pnma (No. 62)
Unique sites:
Pr 0.0078 0.2500 0.2461  6 S 2.84-2.87
Tl 0.2353 0.7500 0.5013  6 S 3.26-3.42
Fe 0.2417 0.2500 0.7220  4 S 2.29-2.39
S 0.0714 0.2500 0.6280  1 Fe 2.30
S 0.0930 0.7500 0.1235  1 Fe 2.29
S 0.2436 0.7500 0.8097  2 Fe 2.39

=====

DFT (PBE) results for a relaxed structure of TmGaAu.

## Properties
- Calculated volume: 278 Å³/cell
- DFT total energy: -4.23 eV per atom

Lattice parameters (Å, degrees): 6.5273 6.5273 6.5273 90.00 90.00 90.00
With the nearest neighbours (Å) after each atom.
Space group F-43m (No. 216)
Unique sites:
Tm 0.0000 0.0000 0.0000  4 Au 2.83
Ga 0.0000 0.0000 0.5000  4 Au 2.83
Au 0.2500 0.2500 0.7500  4 Ga 2.83, 4 Tm 2.83

=====

DFT (PBE) results for a relaxed structure of CsZrHg3Te4.

## Properties
- Calculated volume: 653 Å³/cell
- Energy above the most stable polymorph in this dataset: 0.000 eV per formula unit
- DFT total energy: -2.98 eV per atom

Lattice parameters (Å, degrees): 6.9332 8.6765 11.1693 90.00 103.56 90.00
With the nearest neighbours (Å) after each atom.
Space group P2_1/m (No. 11)
Unique sites:
Cs 0.2219 0.2500 0.3731  6 Te 3.90-4.34, 3 Hg 4.15-4.22
Zr 0.1280 0.2500 0.8010  4 Te 2.82-2.90, 2 Hg 3.07
Hg 0.3177 0.0755 0.0390  2 Hg 3.03-3.15, 1 Zr 3.07, 2 Te 3.09-3.13
Hg 0.4295 0.7500 0.2699  4 Te 2.79-2.94
Te 0.1359 0.7500 0.0326  1 Zr 2.90, 3 Hg 2.94-3.09
Te 0.1638 0.7500 0.4223  1 Hg 2.79, 1 Zr 2.82
Te 0.3223 0.5152 0.7375  1 Zr 2.84, 2 Hg 2.89-3.13